Compound: PrErCoIr
Source: the Alexandria database
Functional: PBE-GGA
Structure: relaxed

a = 4.8878 Å, b = 4.8878 Å, c = 4.8878 Å
α = 60.00°, β = 60.00°, γ = 60.00°
With the nearest neighbours (Å) after each atom.
Sites, in units of the cell vectors:
Pr1 0.2500 0.2500 0.2500  4 Co 2.99, 4 Ir 2.99
Ir1 0.0000 0.0000 0.0000  4 Pr 2.99, 4 Er 2.99
Co1 0.5000 0.5000 0.5000  4 Er 2.99, 4 Pr 2.99
Er1 0.7500 0.7500 0.7500  4 Co 2.99, 4 Ir 2.99

Values from the calculation:
Its final energy is -6.694 eV/atom. The calculation puts the energy of formation at -0.3667 eV/atom. The value obtained for the volume is 20.64 Å³/atom.